1.
LuZrSc2: relaxed, PBE.

Summary:
spin magnetization	2.290	μB per formula unit
space group	F-43m (216)
total energy	-0.2305	hartree per atom

Cell lengths 5.1982, 5.1982, 5.1982 Å; angles 60.00, 60.00, 60.00 degrees
Atoms (fractional coordinates):
Sc 0.7500 0.7500 0.7500
Sc 0.0000 0.0000 0.0000
Lu 0.2500 0.2500 0.2500
Zr 0.5000 0.5000 0.5000

2.
ZnGeAsN: relaxed, PBE.

Summary:
space group	I2_12_12_1 (24)
total energy	-0.1698	hartree per atom

Cell lengths 6.1992, 6.1992, 6.1992 Å; angles 131.79, 129.44, 72.45 degrees
Atoms (fractional coordinates):
Zn 0.8381 0.0881 0.7500
Zn 0.6619 0.4119 0.2500
As 0.2500 0.0130 0.7630
As 0.7500 0.4870 0.7370
N 0.0445 0.2500 0.2945
N 0.4555 0.7500 0.2055
Ge 0.1472 0.8972 0.2500
Ge 0.3528 0.6028 0.7500